Crystalline ThRe2 at its relaxed geometry, computed with PBE.

formation enthalpy at 0 K = -0.25 eV per formula unit
SG = No. 194
final energy = -10.854 eV/atom

Lattice parameters (Å, degrees): 5.392 5.392 18.960 90.00 90.00 120.00
Atoms (fractional coordinates):
Th: 0.000 0.000 0.095
Th: 0.000 0.000 0.405
Th: 0.000 0.000 0.595
Th: 0.000 0.000 0.905
Th: 0.333 0.667 0.155
Th: 0.333 0.667 0.345
Th: 0.667 0.333 0.655
Th: 0.667 0.333 0.845
Re: 0.000 0.500 0.000
Re: 0.000 0.500 0.500
Re: 0.164 0.328 0.750
Re: 0.164 0.836 0.750
Re: 0.328 0.164 0.250
Re: 0.333 0.667 0.626
Re: 0.333 0.667 0.874
Re: 0.500 0.000 0.000
Re: 0.500 0.000 0.500
Re: 0.500 0.500 0.000
Re: 0.500 0.500 0.500
Re: 0.667 0.333 0.126
Re: 0.667 0.333 0.374
Re: 0.672 0.836 0.750
Re: 0.836 0.164 0.250
Re: 0.836 0.672 0.250



Crystalline InCo2Cl at its relaxed geometry, computed with PBE.

formation energy without anion corrections = 306 meV/atom
SG = No. 44
final energy = -4.393 eV/atom

Lattice parameters (Å, degrees): 6.118 6.118 6.118 150.75 136.14 53.59
Atoms (fractional coordinates):
In: 0.000 0.000 0.000
Co: 0.469 0.469 0.000
Co: 0.622 0.122 0.500
Cl: 0.285 0.785 0.500



Crystalline LiZrF2 at its relaxed geometry, computed with PBE.

formation energy without anion corrections = -1915 meV/atom
SG = No. 122
final energy = -5.466 eV/atom

Lattice parameters (Å, degrees): 5.894 5.894 5.894 129.89 129.89 73.58
Atoms (fractional coordinates):
Li: 0.000 0.000 0.000
Li: 0.750 0.250 0.500
Zr: 0.250 0.750 0.500
Zr: 0.500 0.500 0.000
F: 0.051 0.625 0.926
F: 0.375 0.301 0.426
F: 0.699 0.125 0.074
F: 0.875 0.949 0.574



Crystalline KZnPb2 at its relaxed geometry, computed with PBE.

formation enthalpy at 0 K = 0.17 eV per formula unit
SG = No. 6
final energy = -2.405 eV/atom

Lattice parameters (Å, degrees): 3.600 4.814 7.561 90.00 102.00 90.00
Atoms (fractional coordinates):
K: 0.000 0.000 0.000
Zn: 0.404 0.500 0.750
Pb: 0.239 0.000 0.530
Pb: 0.645 0.500 0.321



Crystalline Cs3Rb2Cd2Au4 at its relaxed geometry, computed with PBE.

formation enthalpy at 0 K = -1.70 eV per formula unit
SG = No. 139
final energy = -1.922 eV/atom

Lattice parameters (Å, degrees): 14.785 14.785 14.785 157.74 157.74 31.69
Atoms (fractional coordinates):
Cs: 0.000 0.000 0.000
Cs: 0.151 0.151 0.000
Cs: 0.849 0.849 0.000
Rb: 0.324 0.324 0.000
Rb: 0.676 0.676 0.000
Cd: 0.446 0.446 0.000
Cd: 0.554 0.554 0.000
Au: 0.083 0.583 0.500
Au: 0.417 0.917 0.500
Au: 0.583 0.083 0.500
Au: 0.917 0.417 0.500



Crystalline CaNbPt2 at its relaxed geometry, computed with PBE.

formation enthalpy at 0 K = -0.59 eV per formula unit
SG = No. 122
final energy = -6.186 eV/atom

Lattice parameters (Å, degrees): 6.117 6.117 6.117 104.11 104.11 120.83
Atoms (fractional coordinates):
Ca: 0.000 0.000 0.000
Ca: 0.750 0.250 0.500
Nb: 0.250 0.750 0.500
Nb: 0.500 0.500 0.000
Pt: 0.168 0.625 0.043
Pt: 0.375 0.418 0.543
Pt: 0.582 0.125 0.957
Pt: 0.875 0.832 0.457



Crystalline PaTcP at its relaxed geometry, computed with PBE.

formation enthalpy at 0 K = -2.26 eV per formula unit
SG = No. 187
final energy = -9.178 eV/atom

Lattice parameters (Å, degrees): 4.248 4.248 3.525 90.00 90.00 120.00
Atoms (fractional coordinates):
Pa: 0.000 0.000 0.000
Tc: 0.667 0.333 0.500
P: 0.333 0.667 0.500



Crystalline NaHf2TeO at its relaxed geometry, computed with PBE.

formation energy without anion corrections = -835 meV/atom
SG = No. 123
final energy = -6.700 eV/atom

Lattice parameters (Å, degrees): 4.345 4.345 5.148 90.00 90.00 90.00
Atoms (fractional coordinates):
Na: 0.000 0.000 0.000
Hf: 0.000 0.500 0.500
Hf: 0.500 0.000 0.500
Te: 0.500 0.500 0.000
O: 0.000 0.000 0.500



Crystalline Zn3Sn5Au12 at its relaxed geometry, computed with PBE.

formation enthalpy at 0 K = 0.25 eV per formula unit
SG = No. 230
final energy = -3.146 eV/atom

Lattice parameters (Å, degrees): 13.607 13.607 13.607 109.47 109.47 109.47
Atoms (fractional coordinates):
Zn: 0.125 0.250 0.375
Zn: 0.125 0.375 0.750
Zn: 0.250 0.375 0.125
Zn: 0.250 0.875 0.625
Zn: 0.375 0.125 0.250
Zn: 0.375 0.750 0.125
Zn: 0.625 0.250 0.875
Zn: 0.625 0.875 0.750
Zn: 0.750 0.125 0.375
Zn: 0.750 0.625 0.875
Zn: 0.875 0.625 0.250
Zn: 0.875 0.750 0.625
Sn: 0.000 0.000 0.000
Sn: 0.000 0.000 0.500
Sn: 0.000 0.500 0.000
Sn: 0.000 0.500 0.500
Sn: 0.125 0.750 0.875
Sn: 0.125 0.875 0.250
Sn: 0.250 0.125 0.875
Sn: 0.250 0.625 0.375
Sn: 0.375 0.250 0.625
Sn: 0.375 0.625 0.750
Sn: 0.500 0.000 0.000
Sn: 0.500 0.000 0.500
Sn: 0.500 0.500 0.000
Sn: 0.500 0.500 0.500
Sn: 0.625 0.375 0.250
Sn: 0.625 0.750 0.375
Sn: 0.750 0.375 0.625
Sn: 0.750 0.875 0.125
Sn: 0.875 0.125 0.750
Sn: 0.875 0.250 0.125
Au: 0.067 0.639 0.403
Au: 0.067 0.928 0.664
Au: 0.072 0.236 0.139
Au: 0.072 0.336 0.933
Au: 0.097 0.736 0.664
Au: 0.097 0.861 0.433
Au: 0.139 0.072 0.236
Au: 0.139 0.567 0.903
Au: 0.164 0.236 0.597
Au: 0.164 0.428 0.567
Au: 0.236 0.139 0.072
Au: 0.236 0.597 0.164
Au: 0.264 0.336 0.903
Au: 0.264 0.428 0.361
Au: 0.336 0.903 0.264
Au: 0.336 0.933 0.072
Au: 0.361 0.264 0.428
Au: 0.361 0.597 0.933
Au: 0.403 0.067 0.639
Au: 0.403 0.836 0.764
Au: 0.428 0.361 0.264
Au: 0.428 0.567 0.164
Au: 0.433 0.097 0.861
Au: 0.433 0.836 0.572
Au: 0.567 0.164 0.428
Au: 0.567 0.903 0.139
Au: 0.572 0.433 0.836
Au: 0.572 0.639 0.736
Au: 0.597 0.164 0.236
Au: 0.597 0.933 0.361
Au: 0.639 0.403 0.067
Au: 0.639 0.736 0.572
Au: 0.664 0.067 0.928
Au: 0.664 0.097 0.736
Au: 0.736 0.572 0.639
Au: 0.736 0.664 0.097
Au: 0.764 0.403 0.836
Au: 0.764 0.861 0.928
Au: 0.836 0.572 0.433
Au: 0.836 0.764 0.403
Au: 0.861 0.433 0.097
Au: 0.861 0.928 0.764
Au: 0.903 0.139 0.567
Au: 0.903 0.264 0.336
Au: 0.928 0.664 0.067
Au: 0.928 0.764 0.861
Au: 0.933 0.072 0.336
Au: 0.933 0.361 0.597



Crystalline MgZr2NCl at its relaxed geometry, computed with PBE.

formation energy without anion corrections = 885 meV/atom
SG = No. 123
final energy = -4.888 eV/atom

Lattice parameters (Å, degrees): 5.252 5.252 3.693 90.00 90.00 90.00
Atoms (fractional coordinates):
Mg: 0.000 0.000 0.000
Zr: 0.000 0.500 0.000
Zr: 0.500 0.000 0.000
N: 0.000 0.000 0.500
Cl: 0.500 0.500 0.500



Crystalline UPaTcIr at its relaxed geometry, computed with PBE.

formation enthalpy at 0 K = -1.05 eV per formula unit
SG = No. 216
final energy = -10.266 eV/atom

Lattice parameters (Å, degrees): 4.835 4.835 4.835 60.00 60.00 60.00
Atoms (fractional coordinates):
U: 0.000 0.000 0.000
Pa: 0.500 0.500 0.500
Tc: 0.250 0.250 0.250
Ir: 0.750 0.750 0.750



Crystalline TbDyMgBi at its relaxed geometry, computed with PBE.

formation enthalpy at 0 K = -1.20 eV per formula unit
SG = No. 216
final energy = -3.978 eV/atom

Lattice parameters (Å, degrees): 5.428 5.428 5.428 60.00 60.00 60.00
Atoms (fractional coordinates):
Tb: 0.000 0.000 0.000
Dy: 0.500 0.500 0.500
Mg: 0.250 0.250 0.250
Bi: 0.750 0.750 0.750



Crystalline ScSb2Mo at its relaxed geometry, computed with PBE.

formation energy without anion corrections = -98 meV/atom
SG = No. 123
final energy = -6.450 eV/atom

Lattice parameters (Å, degrees): 4.846 4.846 3.470 90.00 90.00 90.00
Atoms (fractional coordinates):
Sc: 0.000 0.000 0.000
Sb: 0.000 0.500 0.500
Sb: 0.500 0.000 0.500
Mo: 0.500 0.500 0.000



Crystalline ScHgI3 at its relaxed geometry, computed with PBE.

formation energy without anion corrections = -806 meV/atom
SG = No. 221
final energy = -3.063 eV/atom

Lattice parameters (Å, degrees): 5.784 5.784 5.784 90.00 90.00 90.00
Atoms (fractional coordinates):
Sc: 0.000 0.000 0.000
Hg: 0.500 0.500 0.500
I: 0.000 0.000 0.500
I: 0.000 0.500 0.000
I: 0.500 0.000 0.000



Crystalline PuTl2Pt at its relaxed geometry, computed with PBE.

formation enthalpy at 0 K = 1.00 eV per formula unit
SG = No. 166
final energy = -6.027 eV/atom

Lattice parameters (Å, degrees): 11.042 11.042 11.042 17.05 17.05 17.05
Atoms (fractional coordinates):
Pu: 0.000 0.000 0.000
Tl: 0.099 0.099 0.099
Tl: 0.901 0.901 0.901
Pt: 0.500 0.500 0.500